# PBE Mg2TlIn, optimized geometry
# V   25.75 Å³/atom
# DFT formation energy   32 meV per atom
# VASP energy   -16.3 eV for the cell shown
# DOS(E_F)   2.829 states/eV per cell
data_Mg2TlIn
_space_group_name_H-M_alt 'C m m 2'
_space_group_IT_number 35
_cell_length_a 3.670
_cell_length_b 5.469
_cell_length_c 10.263
_cell_angle_alpha 90.00
_cell_angle_beta 90.00
_cell_angle_gamma 90.00
loop_
_space_group_symop_operation_xyz
'x,y,z'
'-x,-y,z'
'-x,y,z'
'x,-y,z'
'x+1/2,y+1/2,z'
'-x+1/2,-y+1/2,z'
'-x+1/2,y+1/2,z'
'x+1/2,-y+1/2,z'
loop_
_atom_site_label
_atom_site_type_symbol
_atom_site_fract_x
_atom_site_fract_y
_atom_site_fract_z
_atom_site_occupancy
Mg1 Mg 0.000 0.000 0.000 1
Mg2 Mg 0.000 0.500 0.237 1
Tl1 Tl 0.000 0.500 0.748 1
In1 In 0.000 0.000 0.479 1

***

# PBE LiLaNi2, optimized geometry
# V   18.73 Å³/atom
# DFT formation energy   -121 meV per atom
# VASP energy   -18.9 eV for the cell shown
# Energy above the most stable polymorph in this dataset   31 meV/atom
# DOS(E_F)   1.159 states/eV per cell
data_LiLaNi2
_space_group_name_H-M_alt 'P 1 m 1'
_space_group_IT_number 6
_cell_length_a 3.829
_cell_length_b 3.927
_cell_length_c 5.335
_cell_angle_alpha 90.00
_cell_angle_beta 110.98
_cell_angle_gamma 90.00
loop_
_space_group_symop_operation_xyz
'x,y,z'
'x,-y,z'
loop_
_atom_site_label
_atom_site_type_symbol
_atom_site_fract_x
_atom_site_fract_y
_atom_site_fract_z
_atom_site_occupancy
Li1 Li 0.000 0.000 0.000 1
La1 La 0.284 0.500 0.570 1
Ni1 Ni 0.560 0.500 0.116 1
Ni2 Ni 0.687 0.000 0.376 1

***

# PBE Cu2TcPb, optimized geometry
# V   16.41 Å³/atom
# DFT formation energy   495 meV per atom
# VASP energy   -20.3 eV for the cell shown
# DOS(E_F)   2.474 states/eV per cell
data_Cu2TcPb
_space_group_name_H-M_alt 'P 4 m m'
_space_group_IT_number 99
_cell_length_a 3.103
_cell_length_b 3.103
_cell_length_c 6.817
_cell_angle_alpha 90.00
_cell_angle_beta 90.00
_cell_angle_gamma 90.00
loop_
_space_group_symop_operation_xyz
'x,y,z'
'-y,x,z'
'-x,-y,z'
'y,-x,z'
'-x,y,z'
'y,x,z'
'x,-y,z'
'-y,-x,z'
loop_
_atom_site_label
_atom_site_type_symbol
_atom_site_fract_x
_atom_site_fract_y
_atom_site_fract_z
_atom_site_occupancy
Cu1 Cu 0.000 0.000 0.000 1
Cu2 Cu 0.500 0.500 0.181 1
Tc1 Tc 0.500 0.500 0.785 1
Pb1 Pb 0.000 0.000 0.487 1

***

# PBE PrTl2Ge2O6, optimized geometry
# V   18.42 Å³/atom
# Uncorrected formation energy   -1.640 eV per atom
# VASP energy   -133.1 eV for the cell shown
# DOS(E_F)   3.592 states/eV per cell
data_PrTl2Ge2O6
_space_group_name_H-M_alt 'C 1 2/m 1'
_space_group_IT_number 12
_cell_length_a 10.666
_cell_length_b 6.230
_cell_length_c 7.268
_cell_angle_alpha 90.00
_cell_angle_beta 122.97
_cell_angle_gamma 90.00
loop_
_space_group_symop_operation_xyz
'x,y,z'
'-x,-y,-z'
'-x,y,-z'
'x,-y,z'
'x+1/2,y+1/2,z'
'-x+1/2,-y+1/2,-z'
'-x+1/2,y+1/2,-z'
'x+1/2,-y+1/2,z'
loop_
_atom_site_label
_atom_site_type_symbol
_atom_site_fract_x
_atom_site_fract_y
_atom_site_fract_z
_atom_site_occupancy
Pr1 Pr 0.000 0.000 0.000 1
Tl1 Tl 0.208 0.000 0.667 1
Ge1 Ge 0.045 0.500 0.711 1
O1 O 0.038 0.268 0.264 1
O2 O 0.239 0.500 0.848 1